VASP calculation (PBE) on an optimized crystal structure of CeHfMoC3.

Cell: 3.4034 7.0739 8.0744 Å, 97.53 90.00 90.00°
Last column: nearest neighbours and their distance in Å.
Fractional positions:
Ce  0.7500  0.8319  0.8158  5 C 2.50-2.72
Ce  0.2500  0.1681  0.1842  5 C 2.50-2.72
Hf  0.2500  0.6379  0.1285  5 C 2.15-2.34
Hf  0.7500  0.3621  0.8715  5 C 2.15-2.34
Mo  0.2500  0.1201  0.5972  4 C 2.03-2.09
Mo  0.7500  0.8799  0.4028  4 C 2.03-2.09
C  0.2500  0.8253  0.5267  3 Mo 2.04-2.09
C  0.7500  0.8663  0.1504  1 Mo 2.03
C  0.7500  0.4164  0.1403  3 Hf 2.15-2.32
C  0.7500  0.1747  0.4733  3 Mo 2.04-2.09
C  0.2500  0.5836  0.8597  3 Hf 2.15-2.32
C  0.2500  0.1337  0.8496  1 Mo 2.03

E_form in meV/atom: -63